A plane-wave DFT calculation with PBE was carried out for an optimized crystal structure of Rb2SBr6Cl.

Structure (CIF):
```
data_Rb2SBr6Cl
_cell_length_a 7.746
_cell_length_b 7.746
_cell_length_c 7.746
_cell_angle_alpha 115.93
_cell_angle_beta 115.93
_cell_angle_gamma 97.21
_symmetry_space_group_name_H-M 'P 1'
_symmetry_Int_Tables_number 1
loop_
_symmetry_equiv_pos_as_xyz
'x,y,z'
loop_
_atom_site_label
_atom_site_fract_x
_atom_site_fract_y
_atom_site_fract_z
Rb1 0.250 0.750 0.500
Rb2 0.750 0.250 0.500
S1 0.000 0.000 0.000
Br1 0.217 0.217 0.433
Br2 0.217 0.783 0.000
Br3 0.252 0.252 0.000
Br4 0.748 0.748 0.000
Br5 0.783 0.217 0.000
Br6 0.783 0.783 0.567
Cl1 0.500 0.500 0.000
```

* final energy: -2.47 eV/atom
* uncorrected formation energy: -0.6704 eV per atom
* size of the total moment: 0.000 μB/atom